# GGA-PBE Pm2DyZn3, relaxed
data_Pm2DyZn3
_cell_length_a 3.623
_cell_length_b 3.623
_cell_length_c 10.925
_cell_angle_alpha 90.00
_cell_angle_beta 90.00
_cell_angle_gamma 90.00
_space_group_name_H-M_alt 'P 4/m m m'
_space_group_IT_number 123
_space_group_name_Hall '-P 4 2'
loop_
_atom_site_label
_atom_site_fract_x
_atom_site_fract_y
_atom_site_fract_z
_atom_site_occupancy
Pm1 0.000 0.000 0.170 1
Dy1 0.000 0.000 0.500 1
Zn1 0.500 0.500 0.000 1
Zn2 0.500 0.500 0.343 1
# V: 143.4 Å³/cell
# ΔH_f (0 K): -0.32 eV/atom